The following is a PBE calculation of a geometry-optimized Ac3Pa structure, from Alexandria.

a = 6.200 Å, b = 3.752 Å, c = 6.663 Å
α = 90.00°, β = 90.00°, γ = 90.00°
Site moments in Bohr magnetons follow the coordinates.
Atoms (fractional coordinates):
Ac 0.500 0.000 0.690  0.01
Ac 0.000 0.500 0.487  0.02
Ac 0.500 0.500 0.162  0.02
Pa 0.000 0.000 0.994  0.88

Values from the calculation:
As for the magnetization: 1.19 μB per formula unit. Its formation enthalpy at 0 K is 0.383 eV per atom. The energy above the lowest structure with this stoichiometry comes out at 8 meV per atom.

The following is a PBE calculation of a geometry-optimized LiPd2Au structure, from Alexandria.

a = 4.459 Å, b = 4.459 Å, c = 4.459 Å
α = 60.00°, β = 60.00°, γ = 60.00°
Atoms (fractional coordinates):
Pd 0.750 0.750 0.750
Pd 0.250 0.250 0.250
Au 0.500 0.500 0.500
Li 0.000 0.000 0.000

Values from the calculation:
As for the magnetization: 0.00 μB per formula unit. Its formation enthalpy at 0 K is -0.279 eV per atom. The energy above the lowest structure with this stoichiometry comes out at 77 meV per atom.

The following is a PBE calculation of a geometry-optimized UBe17W structure, from Alexandria.

a = 5.652 Å, b = 5.652 Å, c = 5.652 Å
α = 82.98°, β = 82.98°, γ = 82.98°
Site moments in Bohr magnetons follow the coordinates.
Atoms (fractional coordinates):
Be 0.286 0.708 0.005  0.01
Be 0.907 0.907 0.907  0.01
Be 0.341 0.844 0.341  0.01
Be 0.286 0.005 0.708  0.01
Be 0.005 0.708 0.286  0.01
Be 0.653 0.653 0.161  0.00
Be 0.844 0.341 0.341  0.01
Be 0.341 0.341 0.844  0.01
Be 0.001 0.001 0.499  -0.01
Be 0.499 0.001 0.001  -0.01
W 0.338 0.338 0.338  0.01
Be 0.005 0.286 0.708  0.01
Be 0.708 0.286 0.005  0.01
Be 0.161 0.653 0.653  0.00
Be 0.653 0.161 0.653  0.00
U 0.660 0.660 0.660  1.76
Be 0.102 0.102 0.102  0.00
Be 0.708 0.005 0.286  0.01
Be 0.001 0.499 0.001  -0.01

Values from the calculation:
As for the magnetization: 2.03 μB per formula unit. Its formation enthalpy at 0 K is -0.016 eV per atom.